VReAu2F | PBE with a Hubbard U | optimized geometry

Unit cell a=5.1557 b=5.1557 c=3.8922 alpha=90.00 beta=90.00 gamma=90.00
Space group P4/mmm (No. 123)
Inequivalent atoms, fractional coordinates:
V: 0.0000 0.0000 0.0000
Re: 0.5000 0.5000 0.5000
Au: 0.0000 0.5000 0.5000
F: 0.5000 0.5000 0.0000

Calculated values
size of the total moment: 0.838 μB/f.u.
energy: -4.76 eV per atom